Entry 1:
CuAs2Ir | Alexandria | PBE | optimized geometry; DFT formation energy = 0.186 eV per atom; spin magnetization = 0.000 μB per formula unit; offset from the most stable computed form = 0.54 eV per formula unit; symmetry = R3m (160)
1.0
1.4783 0.8535 8.9532
-1.4783 0.8535 8.9532
0.0000 -1.7070 8.9532
Cu As Ir
1 2 1
Direct
0.0000 0.0000 0.0000
0.2627 0.2627 0.2627
0.4796 0.4796 0.4796
0.7438 0.7438 0.7438


Entry 2:
Ba2AsPt | Alexandria | PBE | optimized geometry; DFT formation energy = -0.673 eV per atom; spin magnetization = 0.009 μB per formula unit; symmetry = P4/mmm (123)
1.0
4.6844 0.0000 0.0000
0.0000 4.6844 0.0000
0.0000 0.0000 6.5570
Ba As Pt
2 1 1
Direct
0.0000 0.0000 0.0000
0.5000 0.5000 0.5000
0.0000 0.0000 0.5000
0.5000 0.5000 0.0000


Entry 3:
HoFe2Co2 | Alexandria | PBE | optimized geometry; DFT formation energy = -0.051 eV per atom; spin magnetization = 6.625 μB per formula unit; symmetry = I4/mmm (139)
1.0
-1.9561 1.9561 9.7221
1.9561 -1.9561 9.7221
1.9561 1.9561 -9.7221
Ho Fe Co
2 4 4
Direct
0.1271 0.1271 0.0000
0.8729 0.8729 0.0000
0.0000 0.5000 0.5000
0.3145 0.3145 0.0000
0.5000 0.0000 0.5000
0.6855 0.6855 0.0000
0.2500 0.7500 0.5000
0.4320 0.4320 0.0000
0.5680 0.5680 0.0000
0.7500 0.2500 0.5000


Entry 4:
Ca2LaBi | Alexandria | PBE | optimized geometry; DFT formation energy = -0.025 eV per atom; spin magnetization = 0.000 μB per formula unit; symmetry = R-3m (166)
1.0
1.8643 1.0763 12.6268
-1.8643 1.0763 12.6268
0.0000 -2.1527 12.6268
Ca La Bi
2 1 1
Direct
0.0845 0.0845 0.0845
0.9155 0.9155 0.9155
0.5000 0.5000 0.5000
0.0000 0.0000 0.0000


Entry 5:
Mo2PBr | Alexandria | PBE | optimized geometry; spin magnetization = 0.000 μB per formula unit; offset from the most stable computed form = 1.42 eV per formula unit; symmetry = Fm-3m (225); formation energy (no corrections) = 396 meV/atom
1.0
0.0000 3.1072 3.1072
3.1072 0.0000 3.1072
3.1072 3.1072 0.0000
Mo P Br
2 1 1
Direct
0.2500 0.2500 0.2500
0.7500 0.7500 0.7500
0.0000 0.0000 0.0000
0.5000 0.5000 0.5000


Entry 6:
SrLa2Tl | Alexandria | PBE | optimized geometry; DFT formation energy = -0.166 eV per atom; spin magnetization = 0.000 μB per formula unit; offset from the most stable computed form = 0.05 eV per formula unit; symmetry = P4mm (99)
1.0
3.9187 0.0000 0.0000
0.0000 3.9187 0.0000
0.0000 0.0000 9.6482
Sr La Tl
1 2 1
Direct
0.0000 0.0000 0.0000
0.0000 0.0000 0.4354
0.5000 0.5000 0.6848
0.5000 0.5000 0.2265